1.
{"formula": "Sr2NiSe2Cl2O6", "functional": "SCAN", "state": "single point on PBEsol structure", "cell": [[5.328, 0.000, -0.013], [0.000, 6.401, 0.000], [-0.680, 0.000, 12.018]], "species": ["Sr", "Sr", "Sr", "Sr", "Ni", "Ni", "Se", "Se", "Se", "Se", "Cl", "Cl", "Cl", "Cl", "O", "O", "O", "O", "O", "O", "O", "O", "O", "O", "O", "O"], "frac_coords": [[0.515, 0.801, 0.234], [0.485, 0.199, 0.766], [0.985, 0.301, 0.266], [0.015, 0.699, 0.734], [0.500, 0.500, 0.500], [0.000, 0.000, 0.000], [0.492, 0.260, 0.069], [0.992, 0.240, 0.569], [0.008, 0.760, 0.431], [0.508, 0.740, 0.931], [0.550, 0.820, 0.600], [0.450, 0.180, 0.400], [0.950, 0.320, 0.900], [0.050, 0.680, 0.100], [0.742, 0.376, 0.622], [0.258, 0.624, 0.378], [0.242, 0.124, 0.122], [0.758, 0.876, 0.878], [0.722, 0.071, 0.104], [0.222, 0.429, 0.604], [0.778, 0.571, 0.396], [0.278, 0.929, 0.896], [0.065, 0.068, 0.673], [0.435, 0.568, 0.827], [0.565, 0.432, 0.173], [0.935, 0.932, 0.327]], "magmom_total_mub_per_fu": 1.99, "e_form_raw_mev_per_atom": -1897, "space_group": "P2_1/c, No. 14"}

2.
{"formula": "Sr2NiClO3", "functional": "SCAN", "state": "single point on PBEsol structure", "cell": [[3.793, 0.000, 0.000], [0.000, 3.793, 0.000], [0.000, 0.000, 14.431]], "species": ["Sr", "Sr", "Sr", "Sr", "Ni", "Ni", "Cl", "Cl", "O", "O", "O", "O", "O", "O"], "frac_coords": [[0.000, 0.500, 0.904], [0.500, 0.000, 0.096], [0.000, 0.500, 0.659], [0.500, 0.000, 0.341], [0.500, 0.000, 0.795], [0.000, 0.500, 0.205], [0.500, 0.000, 0.576], [0.000, 0.500, 0.424], [0.500, 0.000, 0.926], [0.000, 0.500, 0.074], [0.000, 0.000, 0.774], [0.500, 0.500, 0.774], [0.500, 0.500, 0.226], [0.000, 0.000, 0.226]], "magmom_total_mub_per_fu": 1.00, "e_form_raw_mev_per_atom": -2385, "space_group": "P4/nmm, No. 129"}

3.
{"formula": "Ni7Te6Cl2O18", "functional": "SCAN", "state": "single point on PBEsol structure", "cell": [[7.721, 0.048, 0.049], [-0.033, 7.721, 0.049], [-0.033, -0.033, 7.722]], "species": ["Ni", "Ni", "Ni", "Ni", "Ni", "Ni", "Ni", "Te", "Te", "Te", "Te", "Te", "Te", "Cl", "Cl", "O", "O", "O", "O", "O", "O", "O", "O", "O", "O", "O", "O", "O", "O", "O", "O", "O", "O"], "frac_coords": [[0.132, 0.380, 0.458], [0.458, 0.132, 0.380], [0.620, 0.542, 0.868], [0.380, 0.458, 0.132], [0.500, 0.500, 0.500], [0.542, 0.868, 0.620], [0.868, 0.620, 0.542], [0.296, 0.207, 0.799], [0.207, 0.799, 0.296], [0.793, 0.201, 0.704], [0.799, 0.296, 0.207], [0.201, 0.704, 0.793], [0.704, 0.793, 0.201], [0.794, 0.794, 0.794], [0.206, 0.206, 0.206], [0.531, 0.661, 0.081], [0.997, 0.804, 0.419], [0.581, 0.003, 0.196], [0.919, 0.469, 0.339], [0.435, 0.645, 0.711], [0.419, 0.997, 0.804], [0.804, 0.419, 0.997], [0.339, 0.919, 0.469], [0.711, 0.435, 0.645], [0.565, 0.355, 0.289], [0.081, 0.531, 0.661], [0.003, 0.196, 0.581], [0.289, 0.565, 0.355], [0.661, 0.081, 0.531], [0.469, 0.339, 0.919], [0.196, 0.581, 0.003], [0.645, 0.711, 0.435], [0.355, 0.289, 0.565]], "magmom_total_mub_per_fu": 13.99, "e_form_raw_mev_per_atom": -1202, "space_group": "R-3, No. 148"}

4.
{"formula": "NiOsCl4", "functional": "SCAN", "state": "single point on PBEsol structure", "cell": [[5.408, 0.000, 0.000], [2.704, 4.683, 0.000], [2.704, 1.561, 4.415]], "species": ["Cl", "Cl", "Cl", "Cl", "Ni", "Os"], "frac_coords": [[0.876, 0.375, 0.375], [0.375, 0.375, 0.375], [0.375, 0.375, 0.876], [0.375, 0.876, 0.375], [0.750, 0.750, 0.750], [0.000, 0.000, 0.000]], "magmom_total_mub_per_fu": 2.70, "e_form_raw_mev_per_atom": 1845, "space_group": "F-43m, No. 216"}

5.
{"formula": "NiOs2Cl", "functional": "SCAN", "state": "single point on PBEsol structure", "cell": [[2.791, 0.000, 0.018], [0.000, 3.415, 0.000], [-0.048, 0.000, 6.326]], "species": ["Cl", "Ni", "Os", "Os"], "frac_coords": [[0.502, 0.000, 0.512], [0.499, 0.500, 0.785], [0.000, 0.000, 0.005], [0.500, 0.500, 0.199]], "magmom_total_mub_per_fu": 0.49, "e_form_raw_mev_per_atom": 500, "space_group": "Pm, No. 6"}

6.
{"formula": "SiNi2OsCl", "functional": "SCAN", "state": "single point on PBEsol structure", "cell": [[-2.419, 2.138, 2.356], [0.025, -2.947, 2.699], [3.620, 1.875, 2.014]], "species": ["Ni", "Ni", "Si", "Os", "Cl"], "frac_coords": [[0.000, 0.500, 0.000], [0.500, 0.000, 0.000], [0.500, 0.500, 0.500], [0.000, 0.000, 0.500], [0.000, 0.000, 0.000]], "magmom_total_mub_per_fu": 0.00, "e_form_raw_mev_per_atom": 1284, "space_group": "P4/mmm, No. 123"}

7.
{"formula": "NiPCl2", "functional": "SCAN", "state": "single point on PBEsol structure", "cell": [[3.278, 0.000, 0.000], [1.639, 2.838, 0.000], [1.639, 0.946, 7.508]], "species": ["Cl", "Cl", "Ni", "P"], "frac_coords": [[0.976, 0.976, 0.071], [0.783, 0.783, 0.651], [0.511, 0.511, 0.467], [0.230, 0.230, 0.311]], "magmom_total_mub_per_fu": 0.00, "e_form_raw_mev_per_atom": -342, "space_group": "R3m, No. 160"}

8.
{"formula": "NiP4Cl", "functional": "SCAN", "state": "single point on PBEsol structure", "cell": [[-2.328, -4.432, 1.581], [0.473, -4.378, -2.860], [2.900, -3.998, 1.780]], "species": ["Cl", "Ni", "P", "P", "P", "P"], "frac_coords": [[0.750, 0.750, 0.750], [0.000, 0.000, 0.000], [0.393, 0.393, 0.393], [0.393, 0.393, 0.820], [0.820, 0.393, 0.393], [0.393, 0.820, 0.393]], "magmom_total_mub_per_fu": 1.11, "e_form_raw_mev_per_atom": 613, "space_group": "F-43m, No. 216"}

9.
{"formula": "RbNiP2Cl", "functional": "SCAN", "state": "single point on PBEsol structure", "cell": [[5.700, 0.000, 0.000], [0.000, 6.215, 0.000], [0.000, 0.000, 6.215]], "species": ["Ni", "P", "P", "Rb", "Cl"], "frac_coords": [[0.500, 0.500, 0.500], [0.000, 0.000, 0.500], [0.000, 0.500, 0.000], [0.000, 0.000, 0.000], [0.500, 0.000, 0.000]], "e_above_lowest_polymorph_ev_per_atom": 1.871, "magmom_total_mub_per_fu": 3.36, "e_form_raw_mev_per_atom": 1554, "space_group": "P4/mmm, No. 123"}

10.
{"formula": "RbNiP2Cl", "functional": "SCAN", "state": "single point on PBEsol structure", "cell": [[-2.786, 1.763, 2.630], [0.148, -3.427, 2.454], [5.495, 2.977, 3.826]], "species": ["Ni", "P", "P", "Rb", "Cl"], "frac_coords": [[0.000, 0.000, 0.000], [0.000, 0.500, 0.000], [0.500, 0.000, 0.000], [0.500, 0.500, 0.500], [0.000, 0.000, 0.500]], "e_above_lowest_polymorph_ev_per_atom": 0.000, "magmom_total_mub_per_fu": 0.00, "e_form_raw_mev_per_atom": -317, "space_group": "P4/mmm, No. 123"}

11.
{"formula": "ReNiP2Cl", "functional": "SCAN", "state": "single point on PBEsol structure", "cell": [[-2.458, -3.267, 1.455], [-0.515, -1.424, -4.067], [3.478, -2.434, 0.412]], "species": ["Re", "Cl", "P", "P", "Ni"], "frac_coords": [[0.500, 0.500, 0.500], [0.000, 0.000, 0.500], [0.000, 0.500, 0.000], [0.500, 0.000, 0.000], [0.000, 0.000, 0.000]], "magmom_total_mub_per_fu": 2.71, "e_form_raw_mev_per_atom": 1211, "space_group": "P4/mmm, No. 123"}

12.
{"formula": "SiNiPCl2", "functional": "SCAN", "state": "single point on PBEsol structure", "cell": [[4.331, 0.000, 0.000], [0.000, 4.331, 0.000], [0.000, 0.000, 4.753]], "species": ["Ni", "Si", "P", "Cl", "Cl"], "frac_coords": [[0.000, 0.000, 0.000], [0.500, 0.500, 0.500], [0.000, 0.000, 0.500], [0.000, 0.500, 0.000], [0.500, 0.000, 0.000]], "magmom_total_mub_per_fu": 0.00, "e_form_raw_mev_per_atom": 382, "space_group": "P4/mmm, No. 123"}

13.
{"formula": "SiNiP2Cl", "functional": "SCAN", "state": "single point on PBEsol structure", "cell": [[-2.692, 2.012, 2.829], [1.712, -2.427, 3.354], [3.099, 3.158, 0.703]], "species": ["Ni", "Si", "P", "P", "Cl"], "frac_coords": [[0.500, 0.500, 0.500], [0.000, 0.000, 0.000], [0.000, 0.000, 0.500], [0.000, 0.500, 0.000], [0.500, 0.000, 0.000]], "magmom_total_mub_per_fu": 1.50, "e_form_raw_mev_per_atom": 934, "space_group": "P4/mmm, No. 123"}

14.
{"formula": "TcNiP2Cl", "functional": "SCAN", "state": "single point on PBEsol structure", "cell": [[4.336, 0.000, 0.000], [0.000, 4.336, 0.000], [0.000, 0.000, 4.389]], "species": ["Ni", "Tc", "P", "P", "Cl"], "frac_coords": [[0.000, 0.000, 0.000], [0.500, 0.500, 0.500], [0.000, 0.500, 0.000], [0.500, 0.000, 0.000], [0.000, 0.000, 0.500]], "magmom_total_mub_per_fu": 2.91, "e_form_raw_mev_per_atom": 824, "space_group": "P4/mmm, No. 123"}

15.
{"formula": "NiPb2Cl", "functional": "SCAN", "state": "single point on PBEsol structure", "cell": [[-2.759, 1.386, 0.959], [-1.653, -2.583, -1.022], [0.836, -3.478, 7.433]], "species": ["Cl", "Ni", "Pb", "Pb"], "frac_coords": [[0.000, 0.000, 0.563], [0.500, 0.500, 0.737], [0.000, 0.000, 0.932], [0.500, 0.500, 0.269]], "magmom_total_mub_per_fu": 0.00, "e_form_raw_mev_per_atom": 51, "space_group": "P4mm, No. 99"}

16.
{"formula": "Ni2PdCl", "functional": "SCAN", "state": "single point on PBEsol structure", "cell": [[-3.123, 1.284, -2.510], [-2.316, -2.824, -2.089], [-4.002, -0.673, 1.109]], "species": ["Ni", "Ni", "Pd", "Cl"], "frac_coords": [[0.250, 0.250, 0.250], [0.750, 0.750, 0.750], [0.500, 0.500, 0.500], [0.000, 0.000, 0.000]], "magmom_total_mub_per_fu": 1.88, "e_form_raw_mev_per_atom": 537, "space_group": "Fm-3m, No. 225"}

17.
{"formula": "RbNiPd2Cl", "functional": "SCAN", "state": "single point on PBEsol structure", "cell": [[-3.672, -0.159, -2.595], [2.769, -0.346, -3.898], [-0.062, -4.778, 0.380]], "species": ["Ni", "Rb", "Pd", "Pd", "Cl"], "frac_coords": [[0.000, 0.000, 0.000], [0.500, 0.500, 0.500], [0.000, 0.000, 0.500], [0.000, 0.500, 0.000], [0.500, 0.000, 0.000]], "magmom_total_mub_per_fu": 0.82, "e_form_raw_mev_per_atom": 142, "space_group": "P4/mmm, No. 123"}

18.
{"formula": "NiPt3Cl", "functional": "SCAN", "state": "single point on PBEsol structure", "cell": [[4.537, 0.000, 0.000], [0.000, 4.537, 0.000], [0.000, 0.000, 4.537]], "species": ["Ni", "Pt", "Pt", "Pt", "Cl"], "frac_coords": [[0.000, 0.000, 0.000], [0.000, 0.500, 0.000], [0.000, 0.000, 0.500], [0.500, 0.000, 0.000], [0.500, 0.500, 0.500]], "magmom_total_mub_per_fu": 1.75, "e_form_raw_mev_per_atom": 1292, "space_group": "Pm-3m, No. 221"}

19.
{"formula": "NiPt2Cl", "functional": "SCAN", "state": "single point on PBEsol structure", "cell": [[-0.477, 2.777, 0.479], [0.502, -0.677, 4.419], [4.471, 0.830, -0.381]], "species": ["Ni", "Pt", "Pt", "Cl"], "frac_coords": [[0.000, 0.500, 0.500], [0.752, 0.000, 0.744], [0.248, 0.000, 0.256], [0.500, 0.500, 0.000]], "e_above_lowest_polymorph_ev_per_atom": 0.083, "magmom_total_mub_per_fu": 1.98, "e_form_raw_mev_per_atom": 330, "space_group": "P2/m, No. 10"}

20.
{"formula": "Ni2PtCl", "functional": "SCAN", "state": "single point on PBEsol structure", "cell": [[2.729, 0.000, 0.000], [0.000, 4.276, 0.000], [0.000, 0.000, 4.559]], "species": ["Cl", "Ni", "Ni", "Pt"], "frac_coords": [[0.000, 0.500, 0.500], [0.000, 0.000, 0.000], [0.500, 0.000, 0.500], [0.500, 0.500, 0.000]], "e_above_lowest_polymorph_ev_per_atom": 0.407, "magmom_total_mub_per_fu": 1.71, "e_form_raw_mev_per_atom": 621, "space_group": "Pmmm, No. 47"}